The following is a GGA-PBE calculation of Pm6Ir3Pd after structural relaxation, from the Alexandria database.

Lattice parameters (Å, degrees): 7.0737 7.5752 12.3090 90.00 123.23 90.00
Closest atoms and distances in Å follow each position.
Space group P2_1/c (No. 14)
Inequivalent atoms, fractional coordinates:
Pm1 0.0797 0.0633 0.2538 x4  3 Ir 2.89, 1 Pd 2.89
Pm2 0.2655 0.6685 0.0901 x4  3 Ir 2.76-3.02, 1 Pd 2.96
Pm3 0.4026 0.1725 0.0647 x4  2 Ir 2.80-2.86, 1 Pd 2.82
Ir1 0.3100 0.1106 0.7760 x4  5 Pm 2.86-3.02
Ir2 0.5000 0.0000 0.5000 x2  6 Pm 2.76-2.89
Pd1 0.0000 0.0000 0.0000 x2  6 Pm 2.82-2.96

DFT formation energy (eV per formula unit): -5.74
Energy above the lowest structure with this stoichiometry (eV per formula unit): 0.47